V2SnCF, optimized geometry, DFT PBE+U; D(E_F) = 3.264 states/eV/cell; uncorrected energy = -5.4510 eV/atom
1.0
4.189 0.000 0.000
0.000 4.961 0.000
0.000 0.000 4.189
F C V Sn
1 1 2 1
direct
0.500 0.500 0.500
0.000 0.000 0.000
0.500 0.000 0.000
0.000 0.000 0.500
0.000 0.500 0.000